Entry from Alexandria via LeMat-Bulk: a geometry-optimized BeZn2Br structure (PBE).

Cell: 6.7747 6.7747 6.7747 Å, 90.00 90.00 90.00°
Space group F-43m (No. 216)
Inequivalent atoms, fractional coordinates:
Be 0.0000 0.0000 0.0000 [4 per cell]
Zn 0.0000 0.0000 0.5000 [4 per cell]
Zn 0.2500 0.2500 0.7500 [4 per cell]
Br 0.2500 0.2500 0.2500 [4 per cell]

Results
DOS(E_F): 0.6824 states/eV/atom
Raw total energy: -20.164 eV per cell
Distance to the lowest polymorph of the same formula: 802.0 meV/atom